DFT (PBE) results for a geometry-optimized SbHRu2Rh structure.

Summary:
Magnetic moment   0.000 μB/cell
DFT total energy   -6.691 eV/atom

Cell lengths 4.0119, 4.0119, 3.9745 Å; angles 90.00, 90.00, 90.00 degrees
Last column: nearest neighbours and their distance in Å.
Positions (direct):
Sb1 0.0000 0.0000 0.0000  8 Ru 2.82, 4 Rh 2.84
H1 0.5000 0.5000 0.5000  2 Rh 1.99, 4 Ru 2.01
Ru1 0.0000 0.5000 0.5000  2 H 2.01
Ru2 0.5000 0.0000 0.5000  2 H 2.01
Rh1 0.5000 0.5000 0.0000  2 H 1.99